#P
Crystalline LuFeCuGe at its relaxed geometry. Source: the Open Quantum Materials Database, functional PBE-GGA.

Cell: 4.431 4.431 4.431 Å, 60.00 60.00 60.00°
Element x y z (fractional)
Lu  0.000  0.000  0.000
Fe  0.250  0.250  0.250
Cu  0.750  0.750  0.750
Ge  0.500  0.500  0.500

Computed properties:
* size of the total moment: 1.7 Bohr magnetons per cell



#Q
Crystalline LuFeCuGe at its relaxed geometry. Source: the Open Quantum Materials Database, functional PBE-GGA.

Cell: 4.508 4.508 4.508 Å, 60.00 60.00 60.00°
Element x y z (fractional)
Lu  0.000  0.000  0.000
Fe  0.500  0.500  0.500
Cu  0.750  0.750  0.750
Ge  0.250  0.250  0.250

Computed properties:
* size of the total moment: 2.4 Bohr magnetons per cell



#R
Crystalline LuFeCuGe at its relaxed geometry. Source: the Open Quantum Materials Database, functional PBE-GGA.

Cell: 4.520 4.520 4.520 Å, 60.00 60.00 60.00°
Element x y z (fractional)
Lu  0.000  0.000  0.000
Fe  0.750  0.750  0.750
Cu  0.500  0.500  0.500
Ge  0.250  0.250  0.250

Computed properties:
* size of the total moment: 2.4 Bohr magnetons per cell



It comes down to #Q, which is 45 meV/atom more stable than the next structure.



#P
Crystalline NbFeCuGe at its relaxed geometry. Source: the Open Quantum Materials Database, functional PBE-GGA.

Cell: 4.249 4.249 4.249 Å, 60.00 60.00 60.00°
Element x y z (fractional)
Nb  0.000  0.000  0.000
Fe  0.250  0.250  0.250
Cu  0.750  0.750  0.750
Ge  0.500  0.500  0.500

Computed properties:
* size of the total moment: 0.0 Bohr magnetons per cell



#Q
Crystalline NbFeCuGe at its relaxed geometry. Source: the Open Quantum Materials Database, functional PBE-GGA.

Cell: 4.309 4.309 4.309 Å, 60.00 60.00 60.00°
Element x y z (fractional)
Nb  0.000  0.000  0.000
Fe  0.500  0.500  0.500
Cu  0.750  0.750  0.750
Ge  0.250  0.250  0.250

Computed properties:
* size of the total moment: 2.1 Bohr magnetons per cell



It comes down to #P, which is 110 meV/atom more stable than the next structure.



#P
Crystalline FeCuNiGe at its relaxed geometry. Source: the Open Quantum Materials Database, functional PBE-GGA.

Cell: 4.078 4.078 4.078 Å, 60.00 60.00 60.00°
Element x y z (fractional)
Fe  0.000  0.000  0.000
Cu  0.250  0.250  0.250
Ni  0.500  0.500  0.500
Ge  0.750  0.750  0.750

Computed properties:
* size of the total moment: 2.0 Bohr magnetons per cell



#Q
Crystalline FeCuNiGe at its relaxed geometry. Source: the Open Quantum Materials Database, functional PBE-GGA.

Cell: 4.053 4.053 4.053 Å, 60.00 60.00 60.00°
Element x y z (fractional)
Fe  0.000  0.000  0.000
Cu  0.500  0.500  0.500
Ni  0.250  0.250  0.250
Ge  0.750  0.750  0.750

Computed properties:
* size of the total moment: 2.5 Bohr magnetons per cell



It comes down to #P, which is 64 meV/atom more stable than the next structure.



#P
Crystalline FeCuGeOs at its relaxed geometry. Source: the Open Quantum Materials Database, functional PBE-GGA.

Cell: 4.180 4.180 4.180 Å, 60.00 60.00 60.00°
Element x y z (fractional)
Fe  0.000  0.000  0.000
Cu  0.250  0.250  0.250
Ge  0.750  0.750  0.750
Os  0.500  0.500  0.500

Computed properties:
* size of the total moment: 2.3 Bohr magnetons per cell



#Q
Crystalline FeCuGeOs at its relaxed geometry. Source: the Open Quantum Materials Database, functional PBE-GGA.

Cell: 4.219 4.219 4.219 Å, 60.00 60.00 60.00°
Element x y z (fractional)
Fe  0.000  0.000  0.000
Cu  0.750  0.750  0.750
Ge  0.500  0.500  0.500
Os  0.250  0.250  0.250

Computed properties:
* size of the total moment: 2.9 Bohr magnetons per cell



It comes down to #Q, which is 34 meV/atom more stable than the next structure.



#P
Crystalline TaFeCuGe at its relaxed geometry. Source: the Open Quantum Materials Database, functional PBE-GGA.

Cell: 4.306 4.306 4.306 Å, 60.00 60.00 60.00°
Element x y z (fractional)
Ta  0.000  0.000  0.000
Fe  0.750  0.750  0.750
Cu  0.500  0.500  0.500
Ge  0.250  0.250  0.250

Computed properties:
* size of the total moment: 1.5 Bohr magnetons per cell



#Q
Crystalline TaFeCuGe at its relaxed geometry. Source: the Open Quantum Materials Database, functional PBE-GGA.

Cell: 4.243 4.243 4.243 Å, 60.00 60.00 60.00°
Element x y z (fractional)
Ta  0.000  0.000  0.000
Fe  0.250  0.250  0.250
Cu  0.750  0.750  0.750
Ge  0.500  0.500  0.500

Computed properties:
* size of the total moment: 0.0 Bohr magnetons per cell



It comes down to #Q, which is 134 meV/atom more stable than the next structure.



#P
Crystalline FeCuGeW at its relaxed geometry. Source: the Open Quantum Materials Database, functional PBE-GGA.

Cell: 4.244 4.244 4.244 Å, 60.00 60.00 60.00°
Element x y z (fractional)
Fe  0.000  0.000  0.000
Cu  0.750  0.750  0.750
Ge  0.500  0.500  0.500
W  0.250  0.250  0.250

Computed properties:
* size of the total moment: 1.2 Bohr magnetons per cell



#Q
Crystalline FeCuGeW at its relaxed geometry. Source: the Open Quantum Materials Database, functional PBE-GGA.

Cell: 4.240 4.240 4.240 Å, 60.00 60.00 60.00°
Element x y z (fractional)
Fe  0.000  0.000  0.000
Cu  0.250  0.250  0.250
Ge  0.750  0.750  0.750
W  0.500  0.500  0.500

Computed properties:
* size of the total moment: 2.0 Bohr magnetons per cell



It comes down to #P, which is 51 meV/atom more stable than the next structure.



#P
Crystalline YFeCuGe at its relaxed geometry. Source: the Open Quantum Materials Database, functional PBE-GGA.

Cell: 4.615 4.615 4.615 Å, 60.00 60.00 60.00°
Element x y z (fractional)
Y  0.000  0.000  0.000
Fe  0.750  0.750  0.750
Cu  0.500  0.500  0.500
Ge  0.250  0.250  0.250

Computed properties:
* size of the total moment: 2.5 Bohr magnetons per cell



#Q
Crystalline YFeCuGe at its relaxed geometry. Source: the Open Quantum Materials Database, functional PBE-GGA.

Cell: 4.522 4.522 4.522 Å, 60.00 60.00 60.00°
Element x y z (fractional)
Y  0.000  0.000  0.000
Fe  0.250  0.250  0.250
Cu  0.750  0.750  0.750
Ge  0.500  0.500  0.500

Computed properties:
* size of the total moment: 2.0 Bohr magnetons per cell



It comes down to #Q, which is 142 meV/atom more stable than the next structure.



#P
Crystalline HfInFeCu at its relaxed geometry. Source: the Open Quantum Materials Database, functional PBE-GGA.

Cell: 4.501 4.501 4.501 Å, 60.00 60.00 60.00°
Element x y z (fractional)
Hf  0.000  0.000  0.000
In  0.500  0.500  0.500
Fe  0.250  0.250  0.250
Cu  0.750  0.750  0.750

Computed properties:
* size of the total moment: 1.5 Bohr magnetons per cell



#Q
Crystalline HfInFeCu at its relaxed geometry. Source: the Open Quantum Materials Database, functional PBE-GGA.

Cell: 4.553 4.553 4.553 Å, 60.00 60.00 60.00°
Element x y z (fractional)
Hf  0.000  0.000  0.000
In  0.250  0.250  0.250
Fe  0.500  0.500  0.500
Cu  0.750  0.750  0.750

Computed properties:
* size of the total moment: 2.3 Bohr magnetons per cell



It comes down to #P, which is 222 meV/atom more stable than the next structure.



#P
Crystalline HfFeCuSb at its relaxed geometry. Source: the Open Quantum Materials Database, functional PBE-GGA.

Cell: 4.594 4.594 4.594 Å, 60.00 60.00 60.00°
Element x y z (fractional)
Hf  0.000  0.000  0.000
Fe  0.750  0.750  0.750
Cu  0.500  0.500  0.500
Sb  0.250  0.250  0.250

Computed properties:
* size of the total moment: 1.8 Bohr magnetons per cell



#Q
Crystalline HfFeCuSb at its relaxed geometry. Source: the Open Quantum Materials Database, functional PBE-GGA.

Cell: 4.447 4.447 4.447 Å, 60.00 60.00 60.00°
Element x y z (fractional)
Hf  0.000  0.000  0.000
Fe  0.250  0.250  0.250
Cu  0.750  0.750  0.750
Sb  0.500  0.500  0.500

Computed properties:
* size of the total moment: 0.0 Bohr magnetons per cell



#R
Crystalline HfFeCuSb at its relaxed geometry. Source: the Open Quantum Materials Database, functional PBE-GGA.

Cell: 4.566 4.566 4.566 Å, 60.00 60.00 60.00°
Element x y z (fractional)
Hf  0.000  0.000  0.000
Fe  0.500  0.500  0.500
Cu  0.750  0.750  0.750
Sb  0.250  0.250  0.250

Computed properties:
* size of the total moment: 1.9 Bohr magnetons per cell



It comes down to #Q, which is 216 meV/atom more stable than the next structure.



#P
Crystalline HfFeCuSn at its relaxed geometry. Source: the Open Quantum Materials Database, functional PBE-GGA.

Cell: 4.565 4.565 4.565 Å, 60.00 60.00 60.00°
Element x y z (fractional)
Hf  0.000  0.000  0.000
Fe  0.500  0.500  0.500
Cu  0.750  0.750  0.750
Sn  0.250  0.250  0.250

Computed properties:
* size of the total moment: 2.2 Bohr magnetons per cell



#Q
Crystalline HfFeCuSn at its relaxed geometry. Source: the Open Quantum Materials Database, functional PBE-GGA.

Cell: 4.485 4.485 4.485 Å, 60.00 60.00 60.00°
Element x y z (fractional)
Hf  0.000  0.000  0.000
Fe  0.250  0.250  0.250
Cu  0.750  0.750  0.750
Sn  0.500  0.500  0.500

Computed properties:
* size of the total moment: 1.2 Bohr magnetons per cell



It comes down to #Q, which is 237 meV/atom more stable than the next structure.



#P
Crystalline FeCuHgPb at its relaxed geometry. Source: the Open Quantum Materials Database, functional PBE-GGA.

Cell: 4.792 4.792 4.792 Å, 60.00 60.00 60.00°
Element x y z (fractional)
Fe  0.000  0.000  0.000
Cu  0.750  0.750  0.750
Hg  0.250  0.250  0.250
Pb  0.500  0.500  0.500

Computed properties:
* size of the total moment: 2.7 Bohr magnetons per cell



#Q
Crystalline FeCuHgPb at its relaxed geometry. Source: the Open Quantum Materials Database, functional PBE-GGA.

Cell: 4.706 4.706 4.706 Å, 60.00 60.00 60.00°
Element x y z (fractional)
Fe  0.000  0.000  0.000
Cu  0.500  0.500  0.500
Hg  0.750  0.750  0.750
Pb  0.250  0.250  0.250

Computed properties:
* size of the total moment: 2.6 Bohr magnetons per cell



It comes down to #Q, which is 157 meV/atom more stable than the next structure.



#P
Crystalline TlFeCuHg at its relaxed geometry. Source: the Open Quantum Materials Database, functional PBE-GGA.

Cell: 4.710 4.710 4.710 Å, 60.00 60.00 60.00°
Element x y z (fractional)
Tl  0.000  0.000  0.000
Fe  0.500  0.500  0.500
Cu  0.250  0.250  0.250
Hg  0.750  0.750  0.750

Computed properties:
* size of the total moment: 2.9 Bohr magnetons per cell



#Q
Crystalline TlFeCuHg at its relaxed geometry. Source: the Open Quantum Materials Database, functional PBE-GGA.

Cell: 4.641 4.641 4.641 Å, 60.00 60.00 60.00°
Element x y z (fractional)
Tl  0.000  0.000  0.000
Fe  0.750  0.750  0.750
Cu  0.250  0.250  0.250
Hg  0.500  0.500  0.500

Computed properties:
* size of the total moment: 2.6 Bohr magnetons per cell



It comes down to #Q, which is 133 meV/atom more stable than the next structure.



#P
Crystalline In2FeCu5 at its relaxed geometry. Source: the Open Quantum Materials Database, functional PBE-GGA.

Cell: 4.265 4.265 6.137 Å, 90.00 90.00 90.00°
Element x y z (fractional)
In  0.000  0.000  0.000
In  0.500  0.500  0.500
Fe  0.000  0.000  0.500
Cu  0.000  0.500  0.251
Cu  0.000  0.500  0.749
Cu  0.500  0.000  0.251
Cu  0.500  0.000  0.749
Cu  0.500  0.500  0.000

Computed properties:
* size of the total moment: 2.5 Bohr magnetons per cell



#Q
Crystalline In2FeCu5 at its relaxed geometry. Source: the Open Quantum Materials Database, functional PBE-GGA.

Cell: 4.232 4.232 6.131 Å, 90.00 90.00 90.00°
Element x y z (fractional)
In  0.000  0.000  0.000
In  0.500  0.500  0.500
Fe  0.000  0.000  0.500
Cu  0.000  0.500  0.251
Cu  0.000  0.500  0.749
Cu  0.500  0.000  0.251
Cu  0.500  0.000  0.749
Cu  0.500  0.500  0.000

Computed properties:
* size of the total moment: 2.5 Bohr magnetons per cell



It comes down to #P, which is 8 meV/atom more stable than the next structure.



#P
Crystalline TaInFeCu at its relaxed geometry. Source: the Open Quantum Materials Database, functional PBE-GGA.

Cell: 4.468 4.468 4.468 Å, 60.00 60.00 60.00°
Element x y z (fractional)
Ta  0.000  0.000  0.000
In  0.250  0.250  0.250
Fe  0.500  0.500  0.500
Cu  0.750  0.750  0.750

Computed properties:
* size of the total moment: 2.0 Bohr magnetons per cell



#Q
Crystalline TaInFeCu at its relaxed geometry. Source: the Open Quantum Materials Database, functional PBE-GGA.

Cell: 4.388 4.388 4.388 Å, 60.00 60.00 60.00°
Element x y z (fractional)
Ta  0.000  0.000  0.000
In  0.500  0.500  0.500
Fe  0.250  0.250  0.250
Cu  0.750  0.750  0.750

Computed properties:
* size of the total moment: 1.2 Bohr magnetons per cell



It comes down to #Q, which is 322 meV/atom more stable than the next structure.